SiTe2W | PBE-GGA | optimized geometry

As for the total DFT energy (no corrections): -5.59 eV/atom. The uncorrected formation energy comes out at 0.57 eV/atom.

CIF file:
```
data_SiTe2W
_chemical_formula_sum 'Si1 Te2 W1'
_cell_length_a 3.3567
_cell_length_b 3.3567
_cell_length_c 7.2443
_cell_angle_alpha 90.00
_cell_angle_beta 90.00
_cell_angle_gamma 90.00
_space_group_name_H-M_alt 'P 4/m m m'
_space_group_IT_number 123
_space_group_name_Hall '-P 4 2'
loop_
_atom_site_label
_atom_site_type_symbol
_atom_site_fract_x
_atom_site_fract_y
_atom_site_fract_z
Si1 Si 0.0000 0.0000 0.0000
Te1 Te 0.5000 0.5000 0.2708
W1 W 0.0000 0.0000 0.5000
```